# 1
VASP calculation (PBE) on a relaxed structure of Rb3NaSb.

## Properties
ΔE to the lowest computed polymorph	0.421	eV per formula unit
DOS(E_F)	1.1774	states/eV per atom
total magnetic moment	1.0	Bohr magnetons per cell

```
Rb3NaSb
1.0
7.1580 0.0000 0.0000
0.0000 7.1580 0.0000
0.0000 0.0000 7.1580
Rb Na Sb
3 1 1
Cartesian
0.0000 0.0000 3.5790
0.0000 3.5790 0.0000
3.5790 0.0000 0.0000
3.5790 3.5790 3.5790
0.0000 0.0000 0.0000
```

# 2
VASP calculation (PBE) on a relaxed structure of RbNaSb2.

## Properties
ΔE to the lowest computed polymorph	1.290	eV per formula unit
DOS(E_F)	0.6289	states/eV per atom
total magnetic moment	0.0	Bohr magnetons per cell

```
RbNaSb2
1.0
8.0712 0.0000 0.0000
0.0000 8.0712 0.0000
0.0000 0.0000 8.0712
Rb Na Sb
4 4 8
Cartesian
0.0000 0.0000 0.0000
0.0000 4.0356 4.0356
4.0356 0.0000 4.0356
4.0356 4.0356 0.0000
0.0000 0.0000 4.0356
0.0000 4.0356 0.0000
4.0356 0.0000 0.0000
4.0356 4.0356 4.0356
2.0178 2.0178 2.0178
2.0178 2.0178 6.0534
2.0178 6.0534 2.0178
2.0178 6.0534 6.0534
6.0534 2.0178 2.0178
6.0534 2.0178 6.0534
6.0534 6.0534 2.0178
6.0534 6.0534 6.0534
```

# 3
VASP calculation (PBE) on a relaxed structure of Rb2NaSb.

## Properties
DOS(E_F)	0.4173	states/eV per atom
calculated total energy	-2.22	eV per atom
total magnetic moment	0.0	Bohr magnetons per cell

```
Rb2NaSb
1.0
11.1850 0.0000 0.0000
0.0000 9.4925 0.0000
0.0000 0.0000 6.7384
Rb Na Sb
8 4 4
Cartesian
1.8989 1.2694 1.6846
1.8989 8.2231 5.0538
3.6936 3.4769 5.0538
3.6936 6.0156 1.6846
7.4914 3.4769 5.0538
7.4914 6.0156 1.6846
9.2861 1.2694 1.6846
9.2861 8.2231 5.0538
0.0000 4.7462 0.0000
0.0000 4.7462 3.3692
5.5925 0.0000 0.0000
5.5925 0.0000 3.3692
0.0000 2.2041 5.0538
0.0000 7.2884 1.6846
5.5925 2.5421 1.6846
5.5925 6.9504 5.0538
```

# 4
VASP calculation (PBE) on a relaxed structure of RbNa4Sb2.

## Properties
DOS(E_F)	0.4269	states/eV per atom
calculated total energy	-2.34	eV per atom
total magnetic moment	0.0	Bohr magnetons per cell

```
RbNa4Sb2
1.0
5.6453 0.0000 0.0000
0.0000 16.0236 0.0000
0.0000 0.0000 5.6676
Rb Na Sb
2 8 4
Cartesian
0.0000 0.0000 0.0000
2.8226 8.0118 0.0000
0.0000 2.9117 2.8338
0.0000 5.3087 0.0000
0.0000 10.7149 0.0000
0.0000 13.1119 2.8338
2.8226 2.7031 0.0000
2.8226 5.1001 2.8338
2.8226 10.9236 2.8338
2.8226 13.3205 0.0000
0.0000 6.4837 2.8338
0.0000 9.5400 2.8338
2.8226 1.5282 2.8338
2.8226 14.4955 2.8338
```

# 5
VASP calculation (PBE) on a relaxed structure of Rb2NaSb.

## Properties
DOS(E_F)	0.8285	states/eV per atom
calculated total energy	-2.17	eV per atom
total magnetic moment	0.0	Bohr magnetons per cell

```
Rb2NaSb
1.0
12.9405 0.0000 0.0000
0.0000 5.9153 0.0000
-6.2466 0.0000 10.8306
Rb Na Sb
8 4 4
Cartesian
1.6856 0.5749 1.0134
-1.4377 5.3404 6.4287
-1.4619 2.3827 9.8171
1.6614 3.5326 4.4019
5.0325 2.3827 6.4287
8.1558 3.5326 1.0134
8.1316 0.5749 4.4019
5.0083 5.3404 9.8171
-1.5616 2.2553 2.7076
-4.6849 3.6600 8.1229
1.7853 0.7024 8.1229
4.9086 5.2129 2.7076
-4.6849 0.7020 8.1229
-1.5616 5.2133 2.7076
4.9086 2.2556 2.7076
1.7853 3.6597 8.1229
```

# 6
VASP calculation (PBE) on a relaxed structure of RbNaSb5.

## Properties
DOS(E_F)	0.2777	states/eV per atom
calculated total energy	-3.38	eV per atom
total magnetic moment	0.0	Bohr magnetons per cell

```
RbNaSb5
1.0
2.8475 -6.3719 0.0000
2.8475 6.3719 0.0000
-2.5994 0.0000 13.7836
Rb Na Sb
2 2 10
Cartesian
0.8980 3.2140 10.3377
2.1977 -3.2140 3.4459
1.4238 3.1859 0.0000
0.1241 -3.1859 6.8918
-1.3443 0.6021 8.8613
-0.0447 -0.6021 1.9695
0.6539 1.0196 6.4301
-0.6458 -1.0196 13.3219
2.1977 0.6836 3.4459
0.8980 -0.6836 10.3377
3.7415 1.0196 0.4617
2.4418 -1.0196 7.3535
3.1403 0.6021 11.8141
4.4400 -0.6021 4.9223
```

# 7
VASP calculation (PBE) on a relaxed structure of RbNaSb4.

## Properties
ΔE to the lowest computed polymorph	0.308	eV per formula unit
DOS(E_F)	1.7287	states/eV per atom
total magnetic moment	0.0	Bohr magnetons per cell

```
RbNaSb4
1.0
0.0000 4.6239 4.6239
4.6239 0.0000 4.6239
4.6239 4.6239 0.0000
Rb Na Sb
1 1 4
Cartesian
0.0000 0.0000 0.0000
6.9359 6.9359 6.9359
3.4753 3.4753 3.4753
5.7725 5.7725 3.4753
5.7725 3.4753 5.7725
3.4753 5.7725 5.7725
```

# 8
VASP calculation (PBE) on a relaxed structure of Rb3NaSb.

## Properties
ΔE to the lowest computed polymorph	0.000	eV per formula unit
DOS(E_F)	0.3804	states/eV per atom
total magnetic moment	1.5	Bohr magnetons per cell

```
Rb3NaSb
1.0
-6.8329 4.4230 4.1105
6.8329 -4.4230 4.1105
6.8329 4.4230 -4.1105
Rb Na Sb
6 2 2
Cartesian
3.4164 3.6952 -2.0138
0.3114 2.1946 0.0000
6.5215 2.1946 0.0000
3.4164 0.7278 2.0967
0.3114 2.2284 4.1105
6.5215 2.2284 4.1105
10.2493 2.2027 0.0350
-3.4164 2.2204 4.1455
3.4164 4.3482 2.0805
-3.4164 4.4979 2.0805
```

# 9
VASP calculation (PBE) on a relaxed structure of RbNaSb3.

## Properties
ΔE to the lowest computed polymorph	0.000	eV per formula unit
DOS(E_F)	0.2074	states/eV per atom
total magnetic moment	0.0	Bohr magnetons per cell

```
RbNaSb3
1.0
10.8810 -2.6231 0.0000
10.8810 2.6231 0.0000
-0.4244 0.0000 6.6413
Rb Na Sb
2 2 6
Cartesian
3.2313 0.0000 2.5085
18.1063 0.0000 4.1328
8.1290 0.0000 0.6612
13.2086 0.0000 5.9801
0.2914 0.0000 5.3832
4.8548 0.0000 5.9480
10.0126 0.0000 4.6223
11.3250 0.0000 2.0190
16.4829 0.0000 0.6933
21.0462 0.0000 1.2581
```

# 10
VASP calculation (PBE) on a relaxed structure of Rb2NaSb.

## Properties
DOS(E_F)	0.2579	states/eV per atom
calculated total energy	-1.87	eV per atom
total magnetic moment	0.0	Bohr magnetons per cell

```
Rb2NaSb
1.0
5.3590 0.0000 0.0000
0.0000 5.3590 0.0000
0.0000 0.0000 24.7660
Rb Na Sb
8 4 4
Cartesian
1.3087 1.3398 3.0958
1.3398 3.9882 9.2873
1.3398 4.0503 21.6703
1.3708 1.3398 15.4788
3.9882 4.0193 15.4788
4.0193 1.3087 21.6703
4.0193 1.3708 9.2873
4.0503 4.0193 3.0958
0.0000 0.0000 12.3830
0.0000 2.6795 18.5745
2.6795 0.0000 6.1915
2.6795 2.6795 0.0000
0.0000 0.0000 0.0000
0.0000 2.6795 6.1915
2.6795 0.0000 18.5745
2.6795 2.6795 12.3830
```

# 11
VASP calculation (PBE) on a relaxed structure of RbNaSb3.

## Properties
ΔE to the lowest computed polymorph	2.770	eV per formula unit
DOS(E_F)	0.7791	states/eV per atom
total magnetic moment	0.0	Bohr magnetons per cell

```
RbNaSb3
1.0
5.6171 0.0000 0.0000
0.0000 5.6171 0.0000
0.0000 0.0000 5.6171
Rb Na Sb
1 1 3
Cartesian
0.0000 0.0000 0.0000
2.8086 2.8086 2.8086
0.0000 2.8086 2.8086
2.8086 0.0000 2.8086
2.8086 2.8086 0.0000
```

# 12
VASP calculation (PBE) on a relaxed structure of RbNa2Sb.

## Properties
DOS(E_F)	0.2912	states/eV per atom
calculated total energy	-2.28	eV per atom
total magnetic moment	0.0	Bohr magnetons per cell

```
RbNa2Sb
1.0
9.6078 0.0000 0.0000
0.0000 5.5564 0.0000
-0.8021 0.0000 7.1671
Rb Na Sb
2 4 2
Cartesian
0.0000 0.0000 0.0000
4.8039 2.7782 0.0000
1.1999 2.7782 3.5798
2.8019 0.0000 3.5874
6.0038 0.0000 3.5798
7.6057 2.7782 3.5874
-0.4011 0.0000 3.5836
4.4028 2.7782 3.5836
```

# 13
VASP calculation (PBE) on a relaxed structure of Rb2Na3Sb2.

## Properties
DOS(E_F)	0.4430	states/eV per atom
calculated total energy	-2.36	eV per atom
total magnetic moment	0.0	Bohr magnetons per cell

```
Rb2Na3Sb2
1.0
13.2991 0.0000 0.0000
0.0000 5.3260 0.0000
-3.5642 0.0000 7.8230
Rb Na Sb
4 6 4
Cartesian
1.0300 0.0000 2.2618
2.0553 2.6630 5.5612
7.6796 2.6630 2.2618
8.7049 0.0000 5.5612
-1.7821 2.6630 3.9115
-1.2566 2.6630 7.2632
4.3419 0.0000 0.5598
4.8675 0.0000 3.9115
5.3930 0.0000 7.2632
10.9915 2.6630 0.5598
-0.8731 0.0000 5.6143
3.9584 2.6630 2.2087
5.7765 2.6630 5.6143
10.6080 0.0000 2.2087
```

# 14
VASP calculation (PBE) on a relaxed structure of RbNa4Sb4.

## Properties
DOS(E_F)	0.7302	states/eV per atom
calculated total energy	-2.76	eV per atom
total magnetic moment	0.0	Bohr magnetons per cell

```
RbNa4Sb4
1.0
10.4660 0.0000 0.0000
0.0000 10.4660 0.0000
0.0000 0.0000 6.2609
Rb Na Sb
2 8 8
Cartesian
2.6165 2.6165 1.5652
7.8495 7.8495 4.6957
1.1044 6.5434 0.7476
1.3104 9.3615 3.8781
3.9226 6.3374 3.8781
4.1285 9.1556 0.7476
6.3374 1.3104 5.5133
6.5434 4.1285 2.3829
9.1556 1.1044 2.3829
9.3615 3.9226 5.5133
0.7264 6.1366 3.8922
0.9036 9.7395 0.7617
4.3293 5.9594 0.7617
4.5065 9.5623 3.8922
5.9594 0.9036 2.3687
6.1366 4.5065 5.4992
9.5623 0.7264 5.4992
9.7395 4.3293 2.3687
```

# 15
VASP calculation (PBE) on a relaxed structure of Rb2Na2Sb.

## Properties
DOS(E_F)	0.4297	states/eV per atom
calculated total energy	-1.93	eV per atom
total magnetic moment	1.7	Bohr magnetons per cell

```
Rb2Na2Sb
1.0
8.2893 0.0000 0.0000
0.0000 8.2893 0.0000
0.0000 0.0000 6.3123
Rb Na Sb
4 4 2
Cartesian
1.6786 2.4661 0.0000
2.4661 6.6107 0.0000
5.8232 1.6786 0.0000
6.6107 5.8232 0.0000
1.2784 5.4231 3.1561
2.8663 1.2784 3.1561
5.4231 7.0109 3.1561
7.0109 2.8663 3.1561
0.0000 0.0000 3.1561
4.1447 4.1447 3.1561
```

# 16
VASP calculation (PBE) on a relaxed structure of RbNaSb2.

## Properties
ΔE to the lowest computed polymorph	0.096	eV per formula unit
DOS(E_F)	0.5525	states/eV per atom
total magnetic moment	0.0	Bohr magnetons per cell

```
RbNaSb2
1.0
5.6788 0.0000 0.0000
0.0000 13.4263 0.0000
0.0000 0.0000 7.5175
Rb Na Sb
4 4 8
Cartesian
0.0000 0.9621 1.8794
0.0000 12.4642 5.6382
2.8394 5.7511 5.6382
2.8394 7.6753 1.8794
0.0000 2.7680 5.6382
0.0000 10.6583 1.8794
2.8394 3.9452 1.8794
2.8394 9.4811 5.6382
0.0000 5.2800 0.4232
0.0000 5.2800 3.3355
0.0000 8.1463 4.1820
0.0000 8.1463 7.0943
2.8394 1.4332 4.1820
2.8394 1.4332 7.0943
2.8394 11.9932 0.4232
2.8394 11.9932 3.3355
```

# 17
VASP calculation (PBE) on a relaxed structure of Rb2NaScSb2.

## Properties
calculated total energy	-3.62	eV per atom
total magnetic moment	0.0	Bohr magnetons per cell

```
Rb2NaScSb2
1.0
-3.6980 8.3829 3.6469
3.6980 -8.3829 3.6469
3.6980 8.3829 -3.6469
Rb Na Sc Sb
4 2 2 4
Cartesian
1.6447 2.9518 0.0000
1.6447 -2.9518 3.6469
2.0532 11.3347 0.0000
2.0532 5.4312 3.6469
0.0000 0.0000 1.8235
0.0000 0.0000 5.4704
3.6980 0.0000 1.8235
0.0000 8.3829 1.8235
5.2845 1.6076 0.0000
1.5865 6.7753 0.0000
2.1115 1.6076 3.6469
-1.5865 6.7753 3.6469
```

# 18
VASP calculation (PBE) on a relaxed structure of RbNaSbSe2.

## Properties
DOS(E_F)	0.1679	states/eV per atom
calculated total energy	-3.27	eV per atom
total magnetic moment	0.0	Bohr magnetons per cell

```
RbNaSbSe2
1.0
7.6490 0.0000 0.0000
0.0000 6.6478 0.0000
-2.8418 0.0000 5.9540
Rb Na Sb Se
2 2 2 4
Cartesian
-0.7105 1.5299 1.4885
-2.1314 5.1179 4.4655
3.1141 3.3184 1.4885
1.6931 3.3294 4.4655
3.8245 0.0000 0.0000
2.4036 0.0000 2.9770
-0.9050 1.8217 5.0440
0.5159 4.8260 2.0669
4.2913 1.8217 3.8871
5.7122 4.8260 0.9101
```

# 19
VASP calculation (PBE) on a relaxed structure of RbNa2SnSb2.

## Properties
DOS(E_F)	0.3529	states/eV per atom
calculated total energy	-2.95	eV per atom
total magnetic moment	0.0	Bohr magnetons per cell

```
RbNa2SnSb2
1.0
5.4683 0.0000 0.0000
0.0000 8.7175 0.0000
0.0000 0.0000 8.4502
Rb Na Sn Sb
2 4 2 4
Cartesian
0.0000 0.5551 0.0000
0.0000 8.1624 4.2251
0.0000 2.8835 2.8082
0.0000 5.8340 7.0333
2.7342 3.7562 0.0988
2.7342 4.9614 4.3239
2.7342 1.6447 5.4791
2.7342 7.0729 1.2540
0.0000 2.9400 5.8946
0.0000 5.7776 1.6695
2.7342 1.1946 2.4361
2.7342 7.5229 6.6612
```

# 20
VASP calculation (PBE) on a relaxed structure of RbNa2Sr2Sb2.

## Properties
DOS(E_F)	0.2544	states/eV per atom
calculated total energy	-2.75	eV per atom
total magnetic moment	0.6	Bohr magnetons per cell

```
RbNa2Sr2Sb2
1.0
2.7214 1.5712 10.6598
-2.7214 1.5712 10.6598
0.0000 -3.1424 10.6598
Rb Na Sr Sb
1 2 2 2
Cartesian
0.0000 0.0000 0.0000
0.0000 0.0000 13.1595
0.0000 0.0000 18.8197
0.0000 0.0000 4.2210
0.0000 0.0000 27.7583
0.0000 0.0000 7.7829
0.0000 0.0000 24.1964
```

# 21
VASP calculation (PBE) on a relaxed structure of RbNaTcSb2.

## Properties
DOS(E_F)	0.7413	states/eV per atom
calculated total energy	-3.02	eV per atom
total magnetic moment	4.4	Bohr magnetons per cell

```
RbNaTcSb2
1.0
5.5924 0.0000 0.0000
0.0000 5.5924 0.0000
0.0000 0.0000 5.2717
Rb Na Tc Sb
1 1 1 2
Cartesian
0.0000 0.0000 0.0000
0.0000 0.0000 2.6359
2.7962 2.7962 0.0000
0.0000 2.7962 2.6359
2.7962 0.0000 2.6359
```

# 22
VASP calculation (PBE) on a relaxed structure of RbNaSbTe2.

## Properties
ΔE to the lowest computed polymorph	5.908	eV per formula unit
DOS(E_F)	1.4823	states/eV per atom
total magnetic moment	0.5	Bohr magnetons per cell

```
RbNaSbTe2
1.0
6.4269 0.0000 0.0000
0.0000 6.4269 0.0000
0.0000 0.0000 6.1703
Rb Na Sb Te
1 1 1 2
Cartesian
0.0000 0.0000 0.0000
3.2135 3.2135 3.0851
0.0000 0.0000 3.0851
0.0000 3.2135 0.0000
3.2135 0.0000 0.0000
```

# 23
VASP calculation (PBE) on a relaxed structure of RbNaSbTe3.

## Properties
DOS(E_F)	0.2987	states/eV per atom
calculated total energy	-3.13	eV per atom
total magnetic moment	0.0	Bohr magnetons per cell

```
RbNaSbTe3
1.0
4.0257 -8.1811 0.0000
4.0257 8.1811 0.0000
0.0000 0.0000 7.7457
Rb Na Sb Te
2 2 2 6
Cartesian
4.0257 4.6616 5.8093
4.0257 -4.6616 1.9364
4.0257 6.5232 1.9364
4.0257 -6.5232 5.8093
4.0257 0.7344 1.9364
4.0257 -0.7344 5.8093
1.8371 0.0000 0.0000
1.8371 0.0000 3.8728
4.0257 3.5085 1.9364
4.0257 -3.5085 5.8093
6.2143 0.0000 0.0000
6.2143 0.0000 3.8728
```

# 24
VASP calculation (PBE) on a relaxed structure of RbNaSbTe2.

## Properties
ΔE to the lowest computed polymorph	2.994	eV per formula unit
DOS(E_F)	1.1513	states/eV per atom
total magnetic moment	0.0	Bohr magnetons per cell

```
RbNaSbTe2
1.0
5.8001 0.0000 0.0000
0.0000 5.8001 0.0000
0.0000 0.0000 5.5359
Rb Na Sb Te
1 1 1 2
Cartesian
0.0000 0.0000 0.0000
2.9001 2.9001 2.7679
2.9001 2.9001 0.0000
0.0000 2.9001 2.7679
2.9001 0.0000 2.7679
```